Density functional theory data (GGA-PBE) for a geometry-optimized CaTaIn2Ga structure.

The structure belongs to space group P4/mmm (No. 123); the cell edges are 5.644, 5.644 and 5.102 Å and the angles 90.00°, 90.00° and 90.00°. The distinct sites, in fractional coordinates, are Ca at (0.000, 0.000, 0.000), Ta at (0.000, 0.000, 0.500), In at (0.000, 0.500, 0.000) and Ga at (0.500, 0.500, 0.500).

The energy of formation from the pure elements is 1.558 eV/atom. For the density of states at the Fermi level, the calculation gives 7.29 states/eV/cell.


Density functional theory data (GGA-PBE) for a geometry-optimized Ca2InGaTe5 structure.

The structure belongs to space group Cmc2_1 (No. 36); the cell edges are 4.264, 20.374 and 13.145 Å and the angles 90.00°, 90.00° and 90.00°. The distinct sites, in fractional coordinates, are Ca at (0.000, 0.108, 0.000), Ca at (0.000, 0.116, 0.630), In at (0.000, 0.229, 0.358), Ga at (0.000, 0.434, 0.784), Te at (0.000, 0.043, 0.400), Te at (0.000, 0.277, 0.016), Te at (0.000, 0.312, 0.708), Te at (0.000, 0.366, 0.322) and Te at (0.000, 0.495, 0.609).

For the formation energy from raw total energies, the calculation gives -7.54 eV per formula unit.


Density functional theory data (GGA-PBE) for a geometry-optimized CaThInGa structure.

The structure belongs to space group F-43m (No. 216); the cell edges are 7.550, 7.550 and 7.550 Å and the angles 90.00°, 90.00° and 90.00°. The distinct sites, in fractional coordinates, are Ca at (0.000, 0.000, 0.000), Th at (0.000, 0.000, 0.500), In at (0.250, 0.250, 0.250) and Ga at (0.250, 0.250, 0.750).

The energy of formation from the pure elements is -0.316 eV/atom. For the density of states at the Fermi level, the calculation gives 10.19 states/eV/cell.


Density functional theory data (GGA-PBE) for a geometry-optimized CaTi2InGa structure.

The structure belongs to space group P4/mmm (No. 123); the cell edges are 4.865, 4.865 and 5.273 Å and the angles 90.00°, 90.00° and 90.00°. The distinct sites, in fractional coordinates, are Ca at (0.000, 0.000, 0.000), Ti at (0.000, 0.500, 0.500), In at (0.500, 0.500, 0.000) and Ga at (0.000, 0.000, 0.500).

The energy of formation from the pure elements is 0.333 eV/atom. For the density of states at the Fermi level, the calculation gives 3.76 states/eV/cell.


Density functional theory data (GGA-PBE) for a geometry-optimized CaTlInGa structure.

The structure belongs to space group F-43m (No. 216); the cell edges are 7.483, 7.483 and 7.483 Å and the angles 90.00°, 90.00° and 90.00°. The distinct sites, in fractional coordinates, are Ca at (0.000, 0.000, 0.000), Tl at (0.250, 0.250, 0.750), In at (0.000, 0.000, 0.500) and Ga at (0.250, 0.250, 0.250).

The energy of formation from the pure elements is -0.207 eV/atom. For the density of states at the Fermi level, the calculation gives 5.94 states/eV/cell.


Density functional theory data (GGA-PBE) for a geometry-optimized CaTlInGa2 structure.

The structure belongs to space group P4/mmm (No. 123); the cell edges are 5.273, 5.273 and 5.929 Å and the angles 90.00°, 90.00° and 90.00°. The distinct sites, in fractional coordinates, are Ca at (0.000, 0.000, 0.000), Tl at (0.500, 0.500, 0.000), In at (0.000, 0.000, 0.500) and Ga at (0.000, 0.500, 0.500).

The energy of formation from the pure elements is 0.275 eV/atom. For the density of states at the Fermi level, the calculation gives 3.77 states/eV/cell.


Density functional theory data (GGA-PBE) for a geometry-optimized CaTmInGa structure.

The structure belongs to space group F-43m (No. 216); the cell edges are 7.399, 7.399 and 7.399 Å and the angles 90.00°, 90.00° and 90.00°. The distinct sites, in fractional coordinates, are Ca at (0.000, 0.000, 0.000), Tm at (0.000, 0.000, 0.500), In at (0.250, 0.250, 0.250) and Ga at (0.250, 0.250, 0.750).

The energy of formation from the pure elements is -0.432 eV/atom. For the density of states at the Fermi level, the calculation gives 9.06 states/eV/cell.


Density functional theory data (GGA-PBE) for a geometry-optimized Ca2ZrInGa structure.

The structure belongs to space group P4/mmm (No. 123); the cell edges are 5.737, 5.737 and 5.498 Å and the angles 90.00°, 90.00° and 90.00°. The distinct sites, in fractional coordinates, are Ca at (0.000, 0.500, 0.000), Zr at (0.000, 0.000, 0.500), In at (0.000, 0.000, 0.000) and Ga at (0.500, 0.500, 0.500).

The energy of formation from the pure elements is 0.524 eV/atom. For the density of states at the Fermi level, the calculation gives 6.47 states/eV/cell.


Calculated total moment (μB/f.u.), listed in the same order as above: 0.0, 0.0, 0.0, 0.0, 0.0, 0.0, 0.0, 0.0